! AlInRu2 (meta-GGA SCAN, single point on PBEsol structure); values from VASP
! Formation energy from the elements = 99 meV/atom
! Uncorrected energy = -2.028 Ry per atom
&SYSTEM
  ibrav = 0, nat = 4, ntyp = 3
/
ATOMIC_SPECIES
Ru 101.07 Ru.upf
Al 26.98 Al.upf
In 114.82 In.upf
CELL_PARAMETERS angstrom
-2.297 -2.544 2.772
-1.689 -3.822 -1.403
1.701 -3.813 1.415
ATOMIC_POSITIONS crystal
Ru 0.750 0.750 0.750
Ru 0.000 0.000 0.000
Al 0.500 0.500 0.500
In 0.250 0.250 0.250